# RbHg4Cl8 | Alexandria via LeMat-Bulk | PBE | relaxed
# Fermi-level density of states = 0.263 states/eV per atom
# Excess energy over the best structure of this formula in the dataset = 0 meV per atom
# Uncorrected energy = -26.190 eV/cell
data_RbHg4Cl8
_space_group_name_H-M_alt 'P -1'
_space_group_IT_number 2
_space_group_name_Hall '-P 1'
_cell_length_a 8.0088
_cell_length_b 8.3392
_cell_length_c 8.4453
_cell_angle_alpha 66.91
_cell_angle_beta 87.10
_cell_angle_gamma 67.48
loop_
_atom_site_label
_atom_site_fract_x
_atom_site_fract_y
_atom_site_fract_z
Rb1 0.0000 0.0000 0.0000
Hg1 0.4278 0.2891 0.0212
Hg2 0.4821 0.2549 0.5173
Cl1 0.2841 0.6924 0.3686
Cl2 0.2851 0.2068 0.3487
Cl3 0.2963 0.6881 0.8580
Cl4 0.3032 0.1836 0.8264

# BaGe2Ir | Alexandria via LeMat-Bulk | PBE | relaxed
# Fermi-level density of states = 0.769 states/eV per atom
# Formation enthalpy at 0 K = -0.36 eV/atom
# Uncorrected energy = -85.911 eV/cell
data_BaGe2Ir
_space_group_name_H-M_alt 'I 41/a m d'
_space_group_IT_number 141
_cell_length_a 5.3250
_cell_length_b 5.3250
_cell_length_c 15.9730
_cell_angle_alpha 90.00
_cell_angle_beta 90.00
_cell_angle_gamma 90.00
loop_
_space_group_symop_operation_xyz
'x,y,z'
'-x,-y,-z'
'-y+1/4,x+3/4,z+1/4'
'y+1/4,-x+3/4,-z+1/4'
'-x+1/2,-y,z+1/2'
'x+1/2,y,-z+1/2'
'y+1/4,-x+1/4,z+3/4'
'-y+1/4,x+1/4,-z+3/4'
'x,-y,-z'
'-x,y,z'
'-y+1/4,-x+1/4,-z+3/4'
'y+1/4,x+1/4,z+3/4'
'-x+1/2,y,-z+1/2'
'x+1/2,-y,z+1/2'
'y+1/4,x+3/4,-z+1/4'
'-y+1/4,-x+3/4,z+1/4'
'x+1/2,y+1/2,z+1/2'
'-x+1/2,-y+1/2,-z+1/2'
'-y+3/4,x+1/4,z+3/4'
'y+3/4,-x+1/4,-z+3/4'
'-x,-y+1/2,z'
'x,y+1/2,-z'
'y+3/4,-x+3/4,z+1/4'
'-y+3/4,x+3/4,-z+1/4'
'x+1/2,-y+1/2,-z+1/2'
'-x+1/2,y+1/2,z+1/2'
'-y+3/4,-x+3/4,-z+1/4'
'y+3/4,x+3/4,z+1/4'
'-x,y+1/2,-z'
'x,-y+1/2,z'
'y+3/4,x+1/4,-z+3/4'
'-y+3/4,-x+1/4,z+3/4'
loop_
_atom_site_label
_atom_site_fract_x
_atom_site_fract_y
_atom_site_fract_z
Ba1 0.0000 0.2500 0.3750
Ge1 0.0000 0.0000 0.0000
Ir1 0.0000 0.2500 0.8750

# Al4TlSe7 | Alexandria via LeMat-Bulk | PBE | relaxed
# Fermi-level density of states = 0.912 states/eV per atom
# Uncorrected energy = -101.002 eV/cell
data_Al4TlSe7
_space_group_name_H-M_alt 'P m n 21'
_space_group_IT_number 31
_space_group_name_Hall 'P 2ac -2'
_cell_length_a 15.9334
_cell_length_b 6.6428
_cell_length_c 6.3131
_cell_angle_alpha 90.00
_cell_angle_beta 90.00
_cell_angle_gamma 90.00
loop_
_atom_site_label
_atom_site_fract_x
_atom_site_fract_y
_atom_site_fract_z
Al1 0.1210 0.1611 0.0000
Al2 0.2492 0.6746 0.9841
Tl1 0.0000 0.6228 0.2914
Se1 0.0000 0.3347 0.8616
Se2 0.1173 0.1975 0.3787
Se3 0.1181 0.8183 0.8828
Se4 0.2486 0.6797 0.3757

# In4FeAg | Alexandria via LeMat-Bulk | PBE | relaxed
# Fermi-level density of states = 1.209 states/eV per atom
# Formation enthalpy at 0 K = 0.63 eV/atom
# Uncorrected energy = -73.901 eV/cell
data_In4FeAg
_space_group_name_H-M_alt 'F -4 3 m'
_space_group_IT_number 216
_space_group_name_Hall 'F -4 2 3'
_cell_length_a 8.3594
_cell_length_b 8.3594
_cell_length_c 8.3594
_cell_angle_alpha 90.00
_cell_angle_beta 90.00
_cell_angle_gamma 90.00
loop_
_atom_site_label
_atom_site_fract_x
_atom_site_fract_y
_atom_site_fract_z
In1 0.1251 0.1251 0.1251
Fe1 0.0000 0.0000 0.5000
Ag1 0.2500 0.2500 0.7500

# Mg2Sb3 | Alexandria via LeMat-Bulk | PBE | relaxed
# Fermi-level density of states = 0.564 states/eV per atom
# Excess energy over the best structure of this formula in the dataset = 0 meV per atom
# Uncorrected energy = -48.455 eV/cell
data_Mg2Sb3
_space_group_name_H-M_alt 'R -3 m'
_space_group_IT_number 166
_space_group_name_Hall '-R 3 2"'
_cell_length_a 4.3597
_cell_length_b 4.3597
_cell_length_c 25.2941
_cell_angle_alpha 90.00
_cell_angle_beta 90.00
_cell_angle_gamma 120.00
loop_
_atom_site_label
_atom_site_fract_x
_atom_site_fract_y
_atom_site_fract_z
Mg1 0.0000 0.0000 0.1116
Sb1 0.0000 0.0000 0.3003
Sb2 0.0000 0.0000 0.5000

# Ca4Ag3Pb | Alexandria via LeMat-Bulk | PBE | relaxed
# Fermi-level density of states = 0.495 states/eV per atom
# Formation enthalpy at 0 K = -0.40 eV/atom
# Excess energy over the best structure of this formula in the dataset = 0 meV per atom
# Uncorrected energy = -70.295 eV/cell
data_Ca4Ag3Pb
_space_group_name_H-M_alt 'R -3 m'
_space_group_IT_number 166
_space_group_name_Hall '-R 3 2"'
_cell_length_a 5.3080
_cell_length_b 5.3080
_cell_length_c 26.2320
_cell_angle_alpha 90.00
_cell_angle_beta 90.00
_cell_angle_gamma 120.00
loop_
_atom_site_label
_atom_site_fract_x
_atom_site_fract_y
_atom_site_fract_z
Ca1 0.0000 0.0000 0.1223
Ca2 0.0000 0.0000 0.3732
Ag1 0.0000 0.0000 0.0000
Ag2 0.0000 0.0000 0.2512
Pb1 0.0000 0.0000 0.5000

# AgPbSe2N | Alexandria via LeMat-Bulk | PBE | relaxed
# Fermi-level density of states = 0.855 states/eV per atom
# Excess energy over the best structure of this formula in the dataset = 0 meV per atom
# Uncorrected energy = -17.917 eV/cell
data_AgPbSe2N
_space_group_name_H-M_alt 'P 4/m m m'
_space_group_IT_number 123
_space_group_name_Hall '-P 4 2'
_cell_length_a 5.5790
_cell_length_b 5.5790
_cell_length_c 4.1150
_cell_angle_alpha 90.00
_cell_angle_beta 90.00
_cell_angle_gamma 90.00
loop_
_atom_site_label
_atom_site_fract_x
_atom_site_fract_y
_atom_site_fract_z
Ag1 0.0000 0.0000 0.0000
Pb1 0.5000 0.5000 0.5000
Se1 0.0000 0.5000 0.0000
N1 0.0000 0.0000 0.5000

# Sc3Ge | Alexandria via LeMat-Bulk | PBE | relaxed
# Fermi-level density of states = 1.130 states/eV per atom
# Formation enthalpy at 0 K = -0.41 eV/atom
# Excess energy over the best structure of this formula in the dataset = 112 meV per atom
# Uncorrected energy = -25.234 eV/cell
data_Sc3Ge
_space_group_name_H-M_alt 'P m -3 m'
_space_group_IT_number 221
_space_group_name_Hall '-P 4 2 3'
_cell_length_a 4.3590
_cell_length_b 4.3590
_cell_length_c 4.3590
_cell_angle_alpha 90.00
_cell_angle_beta 90.00
_cell_angle_gamma 90.00
loop_
_atom_site_label
_atom_site_fract_x
_atom_site_fract_y
_atom_site_fract_z
Sc1 0.0000 0.0000 0.5000
Ge1 0.5000 0.5000 0.5000

# Th2CuBi | Alexandria via LeMat-Bulk | PBE | relaxed
# Fermi-level density of states = 1.043 states/eV per atom
# Formation enthalpy at 0 K = -0.20 eV/atom
# Excess energy over the best structure of this formula in the dataset = 110 meV per atom
# Uncorrected energy = -23.627 eV/cell
data_Th2CuBi
_space_group_name_H-M_alt 'P 4/m m m'
_space_group_IT_number 123
_space_group_name_Hall '-P 4 2'
_cell_length_a 3.9719
_cell_length_b 3.9719
_cell_length_c 6.8974
_cell_angle_alpha 90.00
_cell_angle_beta 90.00
_cell_angle_gamma 90.00
loop_
_atom_site_label
_atom_site_fract_x
_atom_site_fract_y
_atom_site_fract_z
Th1 0.0000 0.0000 0.2385
Cu1 0.5000 0.5000 0.0000
Bi1 0.5000 0.5000 0.5000

# Tb6SmIn | Alexandria via LeMat-Bulk | PBE | relaxed
# Fermi-level density of states = 1.104 states/eV per atom
# Formation enthalpy at 0 K = -0.11 eV/atom
# Uncorrected energy = -36.152 eV/cell
data_Tb6SmIn
_space_group_name_H-M_alt 'P 4/m m m'
_space_group_IT_number 123
_space_group_name_Hall '-P 4 2'
_cell_length_a 4.9227
_cell_length_b 4.9227
_cell_length_c 10.1005
_cell_angle_alpha 90.00
_cell_angle_beta 90.00
_cell_angle_gamma 90.00
loop_
_atom_site_label
_atom_site_fract_x
_atom_site_fract_y
_atom_site_fract_z
Tb1 0.0000 0.0000 0.0000
Tb2 0.0000 0.0000 0.5000
Tb3 0.0000 0.5000 0.2427
Sm1 0.5000 0.5000 0.5000
In1 0.5000 0.5000 0.0000

# K2HgPbF6 | Alexandria via LeMat-Bulk | PBE | relaxed
# Fermi-level density of states = 0.000 states/eV per atom
# Uncorrected energy = -39.701 eV/cell
data_K2HgPbF6
_space_group_name_H-M_alt 'P 4 m m'
_space_group_IT_number 99
_space_group_name_Hall 'P 4 -2'
_cell_length_a 6.5828
_cell_length_b 6.5828
_cell_length_c 4.8447
_cell_angle_alpha 90.00
_cell_angle_beta 90.00
_cell_angle_gamma 90.00
loop_
_atom_site_label
_atom_site_fract_x
_atom_site_fract_y
_atom_site_fract_z
K1 0.0000 0.5000 0.0000
Hg1 0.0000 0.0000 0.6091
Pb1 0.5000 0.5000 0.5867
F1 0.0000 0.0000 0.1328
F2 0.2458 0.2458 0.6807
F3 0.5000 0.5000 0.0744